# 1
An optimized crystal structure of PaVRh. Source: Alexandria via LeMat-Bulk, functional PBE-GGA.

abc: 3.6242 3.6242 8.1752
angles: 90.00 90.00 90.00
With the nearest neighbours (Å) after each atom.
Space group I4mm (No. 107)
Asymmetric unit:
1 Pa 0.0000 0.0000 0.0000 (multiplicity 2)  1 V 2.44, 1 Rh 2.72
2 V 0.0000 0.0000 0.2983 (multiplicity 2)  1 Pa 2.44
3 Rh 0.0000 0.0000 0.6670 (multiplicity 2)  5 Pa 2.72-2.90, 5 V 2.78-3.01

Values from the calculation:
* calculated formation energy: -162.1 meV/atom
* distance to the lowest polymorph of the same formula: 0.0 kJ/mol of formula units
* volume: 107.38 Å³/cell
* Fermi-level density of states: 8.49 states/eV/cell
* size of the total moment: 0.00 μB per formula unit

---

# 2
An optimized crystal structure of PaVRh. Source: Alexandria via LeMat-Bulk, functional PBE-GGA.

abc: 4.0536 4.0536 4.1283
angles: 90.00 90.00 120.00
With the nearest neighbours (Å) after each atom.
Space group P3m1 (No. 156)
Asymmetric unit:
1 Pa 0.0000 0.0000 0.0000 (multiplicity 1)  3 Rh 2.92, 3 V 2.95
2 V 0.3333 0.6667 0.4362 (multiplicity 1)  3 Rh 2.41
3 Rh 0.6667 0.3333 0.5771 (multiplicity 1)  3 V 2.41

Values from the calculation:
* calculated formation energy: -66.6 meV/atom
* distance to the lowest polymorph of the same formula: 27.7 kJ/mol of formula units
* volume: 58.75 Å³/cell
* Fermi-level density of states: 6.11 states/eV/cell
* size of the total moment: 0.00 μB per formula unit

---

# 3
An optimized crystal structure of PaVRh2. Source: Alexandria via LeMat-Bulk, functional PBE-GGA.

abc: 2.9375 2.9375 26.9568
angles: 90.00 90.00 120.00
With the nearest neighbours (Å) after each atom.
Space group R-3m (No. 166, hexagonal axes)
Asymmetric unit:
1 Pa 0.0000 0.0000 0.0000 (multiplicity 3)  6 Pa 2.94, 6 Rh 3.08
2 V 0.0000 0.0000 0.5000 (multiplicity 3)  6 Rh 2.56
3 Rh 0.0000 0.0000 0.2379 (multiplicity 6)  3 V 2.56

Values from the calculation:
* calculated formation energy: -154.8 meV/atom
* distance to the lowest polymorph of the same formula: 134.2 kJ/mol of formula units
* volume: 201.44 Å³/cell
* Fermi-level density of states: 13.87 states/eV/cell
* size of the total moment: 0.00 μB per formula unit

---

# 4
An optimized crystal structure of PaVRh2. Source: Alexandria via LeMat-Bulk, functional PBE-GGA.

abc: 4.2073 4.2073 3.8906
angles: 90.00 90.00 90.00
With the nearest neighbours (Å) after each atom.
Space group P4/mmm (No. 123)
Asymmetric unit:
1 Pa 0.0000 0.0000 0.0000 (multiplicity 1)  8 Rh 2.87, 4 V 2.98
2 V 0.5000 0.5000 0.0000 (multiplicity 1)  8 Rh 2.87, 4 Pa 2.98
3 Rh 0.0000 0.5000 0.5000 (multiplicity 2)  4 V 2.87, 4 Pa 2.87, 4 Rh 2.98

Values from the calculation:
* calculated formation energy: -502.4 meV/atom
* distance to the lowest polymorph of the same formula: 0.0 kJ/mol of formula units
* volume: 68.87 Å³/cell
* Fermi-level density of states: 4.12 states/eV/cell
* size of the total moment: 2.93 μB per formula unit

---

# 5
An optimized crystal structure of Pa2VRh. Source: Alexandria via LeMat-Bulk, functional PBE-GGA.

abc: 3.0306 3.0306 29.6578
angles: 90.00 90.00 120.00
With the nearest neighbours (Å) after each atom.
Space group R-3m (No. 166, hexagonal axes)
Asymmetric unit:
1 Pa 0.0000 0.0000 0.0863 (multiplicity 6)  1 V 2.56
2 V 0.0000 0.0000 0.0000 (multiplicity 3)  2 Pa 2.56
3 Rh 0.0000 0.0000 0.5000 (multiplicity 3)  6 Pa 2.96, 6 Rh 3.03

Values from the calculation:
* calculated formation energy: 173.4 meV/atom
* volume: 235.89 Å³/cell
* Fermi-level density of states: 18.07 states/eV/cell
* size of the total moment: 0.01 μB per formula unit

---

# 6
An optimized crystal structure of PaVRh2. Source: Alexandria via LeMat-Bulk, functional PBE-GGA.

abc: 3.0637 3.0637 7.1457
angles: 90.00 90.00 90.00
With the nearest neighbours (Å) after each atom.
Space group P4/mmm (No. 123)
Asymmetric unit:
1 Pa 0.0000 0.0000 0.0000 (multiplicity 1)  8 Rh 3.03, 4 Pa 3.06
2 V 0.0000 0.0000 0.5000 (multiplicity 1)  8 Rh 2.61
3 Rh 0.5000 0.5000 0.2966 (multiplicity 2)  4 V 2.61, 1 Rh 2.91

Values from the calculation:
* calculated formation energy: -404.1 meV/atom
* distance to the lowest polymorph of the same formula: 38.0 kJ/mol of formula units
* volume: 67.07 Å³/cell
* Fermi-level density of states: 5.38 states/eV/cell
* size of the total moment: 0.00 μB per formula unit

---

# 7
An optimized crystal structure of Pa2RhW. Source: Alexandria via LeMat-Bulk, functional PBE-GGA.

abc: 3.0399 3.0399 30.6160
angles: 90.00 90.00 120.00
With the nearest neighbours (Å) after each atom.
Space group R-3m (No. 166, hexagonal axes)
Asymmetric unit:
1 Pa 0.0000 0.0000 0.0894 (multiplicity 6)  1 W 2.74, 3 Rh 2.95, 6 Pa 3.04
2 Rh 0.0000 0.0000 0.5000 (multiplicity 3)  6 Pa 2.95, 6 Rh 3.04
3 W 0.0000 0.0000 0.0000 (multiplicity 3)  2 Pa 2.74, 6 W 3.04

Values from the calculation:
* calculated formation energy: 326.7 meV/atom
* volume: 245.01 Å³/cell
* Fermi-level density of states: 15.37 states/eV/cell
* size of the total moment: 0.00 μB per formula unit

---

# 8
An optimized crystal structure of YPa2Rh4. Source: Alexandria via LeMat-Bulk, functional PBE-GGA.

abc: 10.7251 4.7986 10.9535
angles: 90.00 90.00 90.00
With the nearest neighbours (Å) after each atom.
Space group Pnma (No. 62)
Asymmetric unit:
1 Y 0.1698 0.2500 0.0924 (multiplicity 4)  6 Rh 2.81-3.09
2 Pa 0.0724 0.7500 0.3484 (multiplicity 4)  4 Rh 2.62-2.86
3 Pa 0.1439 0.7500 0.8542 (multiplicity 4)  2 Rh 2.48-2.65
4 Rh 0.0121 0.7500 0.1025 (multiplicity 4)  4 Pa 2.77-3.07, 3 Y 2.89-2.94, 1 Rh 3.04
5 Rh 0.0701 0.7500 0.6232 (multiplicity 4)  3 Pa 2.65-2.86, 1 Y 2.81, 1 Rh 2.84
6 Rh 0.1690 0.2500 0.4877 (multiplicity 4)  1 Pa 2.48, 1 Rh 2.71
7 Rh 0.2150 0.2500 0.7306 (multiplicity 4)  3 Pa 2.62-2.86, 1 Rh 2.71

Values from the calculation:
* calculated formation energy: -813.9 meV/atom
* volume: 563.73 Å³/cell
* Fermi-level density of states: 18.97 states/eV/cell
* size of the total moment: 0.00 μB per formula unit

---

# 9
An optimized crystal structure of YPaRh3. Source: Alexandria via LeMat-Bulk, functional PBE-GGA.

abc: 5.7780 12.8584 5.3176
angles: 90.00 90.00 90.00
With the nearest neighbours (Å) after each atom.
Space group Cmcm (No. 63)
Asymmetric unit:
1 Y 0.0000 0.0762 0.2500 (multiplicity 4)  10 Rh 3.16-3.33, 2 Pa 3.27, 2 Y 3.30
2 Pa 0.0000 0.3041 0.7500 (multiplicity 4)  2 Rh 2.50
3 Rh 0.0000 0.5000 0.0000 (multiplicity 4)  6 Rh 2.66-2.72, 2 Pa 2.85
4 Rh 0.2493 0.3539 0.2500 (multiplicity 8)  1 Pa 2.50, 2 Rh 2.72

Values from the calculation:
* calculated formation energy: -703.6 meV/atom
* distance to the lowest polymorph of the same formula: 0.0 kJ/mol of formula units
* volume: 395.08 Å³/cell
* Fermi-level density of states: 20.01 states/eV/cell
* size of the total moment: 0.00 μB per formula unit

---

# 10
An optimized crystal structure of Y3Pa2Rh4. Source: Alexandria via LeMat-Bulk, functional PBE-GGA.

abc: 11.5615 3.8963 9.4151
angles: 90.00 98.16 90.00
With the nearest neighbours (Å) after each atom.
Space group C2/m (No. 12)
Asymmetric unit:
1 Y 0.0000 0.0000 0.0000 (multiplicity 2)  4 Rh 2.96
2 Y 0.1220 0.5000 0.3857 (multiplicity 4)  5 Rh 3.03-3.09
3 Pa 0.1821 0.5000 0.7802 (multiplicity 4)  5 Rh 2.62-2.82
4 Rh 0.0839 0.0000 0.6207 (multiplicity 4)  2 Pa 2.62, 1 Rh 2.77
5 Rh 0.1907 0.5000 0.0806 (multiplicity 4)  3 Pa 2.67-2.82, 2 Rh 2.93, 2 Y 2.96

Values from the calculation:
* calculated formation energy: -712.5 meV/atom
* volume: 419.82 Å³/cell
* Fermi-level density of states: 18.50 states/eV/cell
* size of the total moment: 0.00 μB per formula unit

---

# 11
An optimized crystal structure of Y2PaRh3. Source: Alexandria via LeMat-Bulk, functional PBE-GGA.

abc: 3.6295 4.4977 15.6539
angles: 90.00 90.00 90.00
With the nearest neighbours (Å) after each atom.
Space group Immm (No. 71)
Asymmetric unit:
1 Y 0.0000 0.0000 0.1771 (multiplicity 4)  7 Rh 2.98-3.31
2 Pa 0.0000 0.5000 0.0000 (multiplicity 2)  8 Rh 2.73-2.89
3 Rh 0.0000 0.0000 0.3694 (multiplicity 4)  2 Pa 2.73, 5 Y 2.98-3.01, 2 Rh 3.04
4 Rh 0.0000 0.5000 0.5000 (multiplicity 2)  4 Pa 2.89, 4 Rh 3.04

Values from the calculation:
* calculated formation energy: -888.7 meV/atom
* volume: 255.54 Å³/cell
* Fermi-level density of states: 8.30 states/eV/cell
* size of the total moment: 0.00 μB per formula unit

---

# 12
An optimized crystal structure of YPa3Rh6. Source: Alexandria via LeMat-Bulk, functional PBE-GGA.

abc: 9.9385 3.7534 11.6296
angles: 90.00 110.77 90.00
With the nearest neighbours (Å) after each atom.
Space group P2_1/m (No. 11)
Asymmetric unit:
1 Y 0.1811 0.2500 0.1028 (multiplicity 2)  8 Rh 2.90-3.11
2 Pa 0.0033 0.7500 0.6433 (multiplicity 2)  6 Rh 2.62-2.81
3 Pa 0.3102 0.2500 0.8556 (multiplicity 2)  6 Rh 2.66-2.80
4 Pa 0.4083 0.7500 0.5893 (multiplicity 2)  7 Rh 2.67-2.91
5 Rh 0.1102 0.7500 0.2625 (multiplicity 2)  2 Pa 2.62, 2 Rh 2.81, 2 Y 2.90
6 Rh 0.1237 0.7500 0.8879 (multiplicity 2)  3 Pa 2.67-2.76
7 Rh 0.1891 0.2500 0.5985 (multiplicity 2)  6 Pa 2.78-2.91, 1 Rh 2.96
8 Rh 0.3124 0.2500 0.4016 (multiplicity 2)  4 Pa 2.74-2.99, 5 Rh 2.81-2.96
9 Rh 0.4230 0.7500 0.2664 (multiplicity 2)  2 Pa 2.67, 4 Rh 2.90-2.91
10 Rh 0.4875 0.2500 0.1012 (multiplicity 2)  3 Pa 2.66-2.77, 2 Rh 2.91

Values from the calculation:
* calculated formation energy: -745.9 meV/atom
* volume: 405.62 Å³/cell
* Fermi-level density of states: 13.95 states/eV/cell
* size of the total moment: 0.00 μB per formula unit

---

# 13
An optimized crystal structure of YPaRh. Source: Alexandria via LeMat-Bulk, functional PBE-GGA.

abc: 3.5667 3.5667 11.0712
angles: 90.00 90.00 90.00
With the nearest neighbours (Å) after each atom.
Space group I4mm (No. 107)
Asymmetric unit:
1 Y 0.0000 0.0000 0.0000 (multiplicity 2)  5 Rh 3.27-3.45, 5 Pa 3.29-3.37, 4 Y 3.57
2 Pa 0.0000 0.0000 0.2975 (multiplicity 2)  4 Rh 2.80
3 Rh 0.0000 0.0000 0.6886 (multiplicity 2)  4 Pa 2.80

Values from the calculation:
* calculated formation energy: -451.2 meV/atom
* distance to the lowest polymorph of the same formula: 0.0 kJ/mol of formula units
* volume: 140.84 Å³/cell
* Fermi-level density of states: 8.52 states/eV/cell
* size of the total moment: 0.00 μB per formula unit